P:
{"formula": "DyTeI", "functional": "GGA-PBE", "state": "relaxed", "vol_a3_per_atom": 47.64, "lattice_angstrom": [[7.276, -2.120, 0.000], [7.276, 2.120, 0.000], [-7.194, 0.000, 9.264]], "species": ["Dy", "Dy", "Te", "Te", "I", "I"], "frac_coords": [[0.128, 0.128, 0.324], [0.872, 0.872, 0.676], [0.200, 0.200, 0.620], [0.800, 0.800, 0.380], [0.438, 0.438, 0.147], [0.562, 0.562, 0.853]]}



Q:
{"formula": "DyTeI", "functional": "GGA-PBE", "state": "relaxed", "vol_a3_per_atom": 40.81, "lattice_angstrom": [[4.372, 0.000, 0.000], [-2.186, 3.786, 0.000], [0.000, 0.000, 7.396]], "species": ["Dy", "Te", "I"], "frac_coords": [[0.000, 0.000, 0.000], [0.333, 0.667, 0.783], [0.667, 0.333, 0.266]]}



Stability summary: most stable Q, least stable P.



P:
{"formula": "Dy2ThI", "functional": "GGA-PBE", "state": "relaxed", "vol_a3_per_atom": 31.45, "lattice_angstrom": [[1.869, 1.079, 10.400], [-1.869, 1.079, 10.400], [0.000, -2.158, 10.400]], "species": ["Dy", "Dy", "Th", "I"], "frac_coords": [[0.246, 0.246, 0.246], [0.754, 0.754, 0.754], [0.000, 0.000, 0.000], [0.500, 0.500, 0.500]]}



Q:
{"formula": "Dy2ThI", "functional": "GGA-PBE", "state": "relaxed", "vol_a3_per_atom": 32.08, "lattice_angstrom": [[3.708, 0.000, 0.000], [0.000, 3.708, 0.000], [0.000, 0.000, 9.333]], "species": ["Dy", "Dy", "Th", "I"], "frac_coords": [[0.000, 0.000, 0.249], [0.000, 0.000, 0.751], [0.500, 0.500, 0.000], [0.500, 0.500, 0.500]]}



Stability summary: most stable P, least stable Q.



P:
{"formula": "DyTmI", "functional": "GGA-PBE", "state": "relaxed", "vol_a3_per_atom": 31.19, "lattice_angstrom": [[8.180, -1.899, 0.000], [8.180, 1.899, 0.000], [-2.642, 0.000, 6.025]], "species": ["Dy", "Dy", "Tm", "Tm", "I", "I"], "frac_coords": [[0.087, 0.087, 0.420], [0.913, 0.913, 0.580], [0.414, 0.414, 0.080], [0.586, 0.586, 0.920], [0.250, 0.250, 0.248], [0.750, 0.750, 0.752]]}



Q:
{"formula": "DyTmI", "functional": "GGA-PBE", "state": "relaxed", "vol_a3_per_atom": 30.74, "lattice_angstrom": [[-1.832, 1.832, 6.870], [1.832, -1.832, 6.870], [1.832, 1.832, -6.870]], "species": ["Dy", "Tm", "I"], "frac_coords": [[0.000, 0.000, 0.000], [0.334, 0.334, 0.000], [0.668, 0.668, 0.000]]}



Stability summary: most stable P, least stable Q.



P:
{"formula": "DyYI", "functional": "GGA-PBE", "state": "relaxed", "vol_a3_per_atom": 32.02, "lattice_angstrom": [[3.839, 0.000, 0.000], [-1.919, 3.324, 0.000], [0.000, 0.000, 7.527]], "species": ["Dy", "Y", "I"], "frac_coords": [[0.000, 0.000, 0.000], [0.667, 0.333, 0.349], [0.333, 0.667, 0.674]]}



Q:
{"formula": "DyYI", "functional": "GGA-PBE", "state": "relaxed", "vol_a3_per_atom": 31.78, "lattice_angstrom": [[1.892, 1.092, 7.688], [-1.892, 1.092, 7.688], [0.000, -2.185, 7.688]], "species": ["Dy", "Y", "I"], "frac_coords": [[0.000, 0.000, 0.000], [0.550, 0.550, 0.550], [0.776, 0.776, 0.776]]}



Stability summary: most stable P, least stable Q.



P:
{"formula": "DyY2I", "functional": "GGA-PBE", "state": "relaxed", "vol_a3_per_atom": 31.83, "lattice_angstrom": [[1.874, 1.082, 10.469], [-1.874, 1.082, 10.469], [0.000, -2.164, 10.469]], "species": ["Dy", "Y", "Y", "I"], "frac_coords": [[0.000, 0.000, 0.000], [0.245, 0.245, 0.245], [0.755, 0.755, 0.755], [0.500, 0.500, 0.500]]}



Q:
{"formula": "DyY2I", "functional": "GGA-PBE", "state": "relaxed", "vol_a3_per_atom": 31.64, "lattice_angstrom": [[3.650, 0.000, 0.000], [0.000, 3.650, 0.000], [0.000, 0.000, 9.500]], "species": ["Dy", "Y", "Y", "I"], "frac_coords": [[0.000, 0.000, 0.000], [0.500, 0.500, 0.255], [0.500, 0.500, 0.745], [0.000, 0.000, 0.500]]}



Stability summary: most stable P, least stable Q.



P:
{"formula": "Dy5In", "functional": "GGA-PBE", "state": "relaxed", "vol_a3_per_atom": 29.63, "lattice_angstrom": [[2.431, -7.525, 0.000], [2.431, 7.525, 0.000], [0.000, 0.000, 4.860]], "species": ["Dy", "Dy", "Dy", "Dy", "Dy", "In"], "frac_coords": [[0.000, 0.000, 0.000], [0.162, 0.838, 0.500], [0.332, 0.668, 0.000], [0.668, 0.332, 0.000], [0.838, 0.162, 0.500], [0.500, 0.500, 0.500]]}



Q:
{"formula": "Dy5In", "functional": "GGA-PBE", "state": "relaxed", "vol_a3_per_atom": 29.51, "lattice_angstrom": [[2.790, -5.633, 0.000], [2.790, 5.633, 0.000], [0.000, 0.000, 5.634]], "species": ["Dy", "Dy", "Dy", "Dy", "Dy", "In"], "frac_coords": [[0.000, 0.000, 0.000], [0.160, 0.840, 0.500], [0.340, 0.660, 0.000], [0.660, 0.340, 0.000], [0.840, 0.160, 0.500], [0.500, 0.500, 0.500]]}



Stability summary: most stable P, least stable Q.



P:
{"formula": "Dy3In5", "functional": "GGA-PBE", "state": "relaxed", "vol_a3_per_atom": 25.85, "lattice_angstrom": [[4.586, -4.738, 0.000], [4.586, 4.738, 0.000], [0.000, 0.000, 4.760]], "species": ["Dy", "Dy", "Dy", "In", "In", "In", "In", "In"], "frac_coords": [[0.000, 0.000, 0.000], [0.274, 0.726, 0.500], [0.726, 0.274, 0.500], [0.000, 0.500, 0.000], [0.232, 0.232, 0.500], [0.500, 0.000, 0.000], [0.500, 0.500, 0.000], [0.768, 0.768, 0.500]]}



Q:
{"formula": "Dy3In5", "functional": "GGA-PBE", "state": "relaxed", "vol_a3_per_atom": 25.92, "lattice_angstrom": [[4.945, -4.040, 0.000], [4.945, 4.040, 0.000], [0.000, 0.000, 10.383]], "species": ["Dy", "Dy", "Dy", "Dy", "Dy", "Dy", "In", "In", "In", "In", "In", "In", "In", "In", "In", "In"], "frac_coords": [[0.117, 0.883, 0.750], [0.295, 0.295, 0.000], [0.295, 0.295, 0.500], [0.705, 0.705, 0.000], [0.705, 0.705, 0.500], [0.883, 0.117, 0.250], [0.007, 0.429, 0.750], [0.194, 0.806, 0.044], [0.194, 0.806, 0.456], [0.429, 0.007, 0.250], [0.497, 0.503, 0.250], [0.503, 0.497, 0.750], [0.571, 0.993, 0.750], [0.806, 0.194, 0.544], [0.806, 0.194, 0.956], [0.993, 0.571, 0.250]]}



Stability summary: most stable Q, least stable P.



P:
{"formula": "Dy5In3", "functional": "GGA-PBE", "state": "relaxed", "vol_a3_per_atom": 29.09, "lattice_angstrom": [[9.080, 0.000, 0.000], [-4.540, 7.864, 0.000], [0.000, 0.000, 6.519]], "species": ["Dy", "Dy", "Dy", "Dy", "Dy", "Dy", "Dy", "Dy", "Dy", "Dy", "In", "In", "In", "In", "In", "In"], "frac_coords": [[0.000, 0.235, 0.250], [0.000, 0.765, 0.750], [0.235, 0.000, 0.250], [0.235, 0.235, 0.750], [0.333, 0.667, 0.000], [0.333, 0.667, 0.500], [0.667, 0.333, 0.000], [0.667, 0.333, 0.500], [0.765, 0.000, 0.750], [0.765, 0.765, 0.250], [0.000, 0.403, 0.750], [0.000, 0.597, 0.250], [0.403, 0.000, 0.750], [0.403, 0.403, 0.250], [0.597, 0.000, 0.250], [0.597, 0.597, 0.750]]}



Q:
{"formula": "Dy5In3", "functional": "GGA-PBE", "state": "relaxed", "vol_a3_per_atom": 27.94, "lattice_angstrom": [[4.308, -5.122, 0.000], [4.308, 5.122, 0.000], [0.000, 0.000, 5.066]], "species": ["Dy", "Dy", "Dy", "Dy", "Dy", "In", "In", "In"], "frac_coords": [[0.000, 0.000, 0.000], [0.000, 0.500, 0.000], [0.280, 0.280, 0.500], [0.500, 0.000, 0.000], [0.720, 0.720, 0.500], [0.219, 0.781, 0.500], [0.500, 0.500, 0.000], [0.781, 0.219, 0.500]]}



R:
{"formula": "Dy5In3", "functional": "GGA-PBE", "state": "relaxed", "vol_a3_per_atom": 28.20, "lattice_angstrom": [[-6.139, 6.139, 2.993], [6.139, -6.139, 2.993], [6.139, 6.139, -2.993]], "species": ["Dy", "Dy", "Dy", "Dy", "Dy", "Dy", "Dy", "Dy", "Dy", "Dy", "In", "In", "In", "In", "In", "In"], "frac_coords": [[0.083, 0.780, 0.863], [0.220, 0.083, 0.303], [0.250, 0.750, 0.500], [0.280, 0.583, 0.863], [0.417, 0.280, 0.697], [0.583, 0.720, 0.303], [0.720, 0.417, 0.137], [0.750, 0.250, 0.500], [0.780, 0.917, 0.697], [0.917, 0.220, 0.137], [0.162, 0.338, 0.500], [0.250, 0.250, 0.000], [0.338, 0.838, 0.176], [0.662, 0.162, 0.824], [0.750, 0.750, 0.000], [0.838, 0.662, 0.500]]}



Stability summary: most stable R, least stable Q.



P:
{"formula": "Dy2In3", "functional": "GGA-PBE", "state": "relaxed", "vol_a3_per_atom": 26.42, "lattice_angstrom": [[6.636, 0.000, 0.000], [0.000, 8.210, 0.000], [0.000, 0.000, 9.701]], "species": ["Dy", "Dy", "Dy", "Dy", "Dy", "Dy", "Dy", "Dy", "In", "In", "In", "In", "In", "In", "In", "In", "In", "In", "In", "In"], "frac_coords": [[0.124, 0.183, 0.087], [0.124, 0.817, 0.587], [0.376, 0.317, 0.587], [0.376, 0.683, 0.087], [0.624, 0.317, 0.913], [0.624, 0.683, 0.413], [0.876, 0.183, 0.413], [0.876, 0.817, 0.913], [0.000, 0.150, 0.750], [0.000, 0.850, 0.250], [0.136, 0.478, 0.870], [0.136, 0.522, 0.370], [0.364, 0.022, 0.370], [0.364, 0.978, 0.870], [0.500, 0.350, 0.250], [0.500, 0.650, 0.750], [0.636, 0.022, 0.130], [0.636, 0.978, 0.630], [0.864, 0.478, 0.630], [0.864, 0.522, 0.130]]}



Q:
{"formula": "Dy2In3", "functional": "GGA-PBE", "state": "relaxed", "vol_a3_per_atom": 26.76, "lattice_angstrom": [[2.536, 1.464, 6.009], [-2.536, 1.464, 6.009], [0.000, -2.928, 6.009]], "species": ["Dy", "Dy", "In", "In", "In"], "frac_coords": [[0.103, 0.103, 0.103], [0.897, 0.897, 0.897], [0.308, 0.308, 0.308], [0.500, 0.500, 0.500], [0.692, 0.692, 0.692]]}



Stability summary: most stable P, least stable Q.



P:
{"formula": "DyIn5", "functional": "GGA-PBE", "state": "relaxed", "vol_a3_per_atom": 26.39, "lattice_angstrom": [[3.032, -4.869, 0.000], [3.032, 4.869, 0.000], [-2.102, 0.000, 5.364]], "species": ["Dy", "In", "In", "In", "In", "In"], "frac_coords": [[0.000, 0.000, 0.000], [0.166, 0.834, 0.500], [0.338, 0.662, 0.000], [0.500, 0.500, 0.500], [0.662, 0.338, 0.000], [0.834, 0.166, 0.500]]}



Q:
{"formula": "DyIn5", "functional": "GGA-PBE", "state": "relaxed", "vol_a3_per_atom": 25.74, "lattice_angstrom": [[2.310, -7.287, 0.000], [2.310, 7.287, 0.000], [0.000, 0.000, 4.586]], "species": ["Dy", "In", "In", "In", "In", "In"], "frac_coords": [[0.000, 0.000, 0.000], [0.168, 0.832, 0.500], [0.336, 0.664, 0.000], [0.500, 0.500, 0.500], [0.664, 0.336, 0.000], [0.832, 0.168, 0.500]]}



Stability summary: most stable Q, least stable P.



P:
{"formula": "Dy3InIr", "functional": "GGA-PBE", "state": "relaxed", "vol_a3_per_atom": 25.80, "lattice_angstrom": [[0.000, 4.809, 8.192], [3.274, 0.000, 8.192], [3.274, 4.809, 0.000]], "species": ["Dy", "Dy", "Dy", "Dy", "Dy", "Dy", "In", "In", "Ir", "Ir"], "frac_coords": [[0.199, 0.581, 0.419], [0.202, 0.202, 0.798], [0.419, 0.801, 0.199], [0.581, 0.199, 0.801], [0.798, 0.798, 0.202], [0.801, 0.419, 0.581], [0.210, 0.790, 0.790], [0.790, 0.210, 0.210], [0.250, 0.250, 0.250], [0.750, 0.750, 0.750]]}



Q:
{"formula": "Dy3InIr", "functional": "GGA-PBE", "state": "relaxed", "vol_a3_per_atom": 28.76, "lattice_angstrom": [[7.388, -5.381, 0.000], [7.388, 5.381, 0.000], [0.000, 0.000, 7.234]], "species": ["Dy", "Dy", "Dy", "Dy", "Dy", "Dy", "Dy", "Dy", "Dy", "Dy", "Dy", "Dy", "In", "In", "In", "In", "Ir", "Ir", "Ir", "Ir"], "frac_coords": [[0.131, 0.131, 0.000], [0.131, 0.131, 0.500], [0.188, 0.524, 0.506], [0.188, 0.524, 0.994], [0.476, 0.812, 0.506], [0.476, 0.812, 0.994], [0.524, 0.188, 0.006], [0.524, 0.188, 0.494], [0.812, 0.476, 0.006], [0.812, 0.476, 0.494], [0.869, 0.869, 0.000], [0.869, 0.869, 0.500], [0.182, 0.818, 0.250], [0.495, 0.505, 0.250], [0.505, 0.495, 0.750], [0.818, 0.182, 0.750], [0.067, 0.369, 0.250], [0.369, 0.067, 0.750], [0.631, 0.933, 0.250], [0.933, 0.631, 0.750]]}



Stability summary: most stable P, least stable Q.



P:
{"formula": "Dy2InIr", "functional": "GGA-PBE", "state": "relaxed", "vol_a3_per_atom": 27.01, "lattice_angstrom": [[1.960, 1.131, 8.122], [-1.960, 1.131, 8.122], [0.000, -2.263, 8.122]], "species": ["Dy", "Dy", "In", "Ir"], "frac_coords": [[0.232, 0.232, 0.232], [0.768, 0.768, 0.768], [0.000, 0.000, 0.000], [0.500, 0.500, 0.500]]}



Q:
{"formula": "Dy2InIr", "functional": "GGA-PBE", "state": "relaxed", "vol_a3_per_atom": 23.42, "lattice_angstrom": [[3.528, 0.000, 0.000], [0.000, 3.528, 0.000], [0.000, 0.000, 7.528]], "species": ["Dy", "Dy", "In", "Ir"], "frac_coords": [[0.000, 0.000, 0.216], [0.000, 0.000, 0.784], [0.500, 0.500, 0.500], [0.500, 0.500, 0.000]]}



Stability summary: most stable Q, least stable P.